Entry 1:
A plane-wave DFT calculation with PBE-GGA was carried out for crystalline PrNdCd6 at its relaxed geometry.

Structure (POSCAR):
```
PrNdCd6
1.0
5.1481 0.0000 0.0000
0.0000 5.1481 0.0000
0.0000 0.0000 7.2611
Pr Nd Cd
1 1 6
Cartesian
0.0000 0.0000 0.0000 Pr
2.5741 2.5741 3.6305 Nd
0.0000 0.0000 3.6305 Cd
0.0000 2.5741 1.8348 Cd
0.0000 2.5741 5.4263 Cd
2.5741 0.0000 1.8348 Cd
2.5741 0.0000 5.4263 Cd
2.5741 2.5741 0.0000 Cd
```

- relative energy among the computed polymorphs (meV per atom) = 3.3
- calculated volume (Å³/cell) = 192.4
- formation energy from the elements (eV/atom) = -0.32


Entry 2:
A plane-wave DFT calculation with PBE-GGA was carried out for crystalline Zr2AlAu at its relaxed geometry.

Structure (POSCAR):
```
Zr2AlAu
1.0
0.0000 3.4139 3.4139
3.4139 0.0000 3.4139
3.4139 3.4139 0.0000
Zr Al Au
2 1 1
Cartesian
0.0000 0.0000 0.0000 Zr
1.7070 1.7070 1.7070 Zr
3.4139 3.4139 3.4139 Al
5.1209 5.1209 5.1209 Au
```

- final energy (eV for the cell shown) = -24.35
- calculated volume (Å³/cell) = 79.6


Entry 3:
A plane-wave DFT calculation with PBE-GGA was carried out for crystalline Zr3InCN at its relaxed geometry.

Structure (POSCAR):
```
Zr3InCN
1.0
3.3431 0.0000 0.0000
-1.6716 2.8952 0.0000
0.0000 0.0000 20.2017
Zr In C N
6 2 2 2
Cartesian
0.0000 0.0000 0.0000 Zr
0.0000 0.0000 10.1008 Zr
0.0000 1.9302 2.5171 Zr
0.0000 1.9302 7.5178 Zr
1.6716 0.9651 12.6839 Zr
1.6716 0.9651 17.6846 Zr
0.0000 0.0000 4.9941 In
0.0000 0.0000 15.2076 In
0.0000 1.9302 11.5169 C
1.6716 0.9651 8.6848 C
0.0000 1.9302 18.8688 N
1.6716 0.9651 1.3329 N
```

- final energy (eV for the cell shown) = -103.89
- calculated volume (Å³/cell) = 195.5


Entry 4:
A plane-wave DFT calculation with PBE-GGA was carried out for crystalline Dy2SiW2C2 at its relaxed geometry.

Structure (POSCAR):
```
Dy2SiW2C2
1.0
6.8879 -1.6507 0.0000
6.8879 1.6507 0.0000
-2.2864 0.0000 5.3419
Dy Si W C
2 1 2 2
Cartesian
1.1025 0.0000 1.6421 Dy
10.3870 0.0000 3.6997 Dy
5.7447 0.0000 2.6709 Si
4.1352 0.0000 0.8606 W
7.3543 0.0000 4.4812 W
1.7162 0.0000 4.0447 C
9.7732 0.0000 1.2972 C
```

- final energy (eV for the cell shown) = -60.69
- calculated volume (Å³/cell) = 121.5


Q: The highest calculated volume belongs to which entry?
A: Zr3InCN